1.
This record from Alexandria via LeMat-Bulk describes LiScU2As4 after structural relaxation. The functional is PBE.

* formation energy: -0.78 eV/atom

Lattice parameters (Å, degrees): 6.7435 4.0247 7.0609 90.00 109.87 90.00
Last column: nearest neighbours and their distance in Å.
Element x y z (fractional)
Li (0.0000, 0.0000, 0.0000)  6 As 2.80-2.82
Sc (0.0000, 0.5000, 0.5000)  6 As 2.78-2.80
U (0.5000, 0.0000, 0.5000)  6 As 2.83-2.85
U (0.5000, 0.5000, 0.0000)  6 As 2.85-2.87
As (0.2402, 0.0000, 0.7445)  2 Sc 2.78, 1 Li 2.80, 3 U 2.85-2.87
As (0.2465, 0.5000, 0.2514)  1 Sc 2.80, 2 Li 2.82, 3 U 2.83-2.85
As (0.7535, 0.5000, 0.7486)  1 Sc 2.80, 2 Li 2.82, 3 U 2.83-2.85
As (0.7598, 0.0000, 0.2555)  2 Sc 2.78, 1 Li 2.80, 3 U 2.85-2.87

=====

2.
This record from Alexandria via LeMat-Bulk describes LiSc2UAs4 after structural relaxation. The functional is PBE.

* formation energy: -0.95 eV/atom

Lattice parameters (Å, degrees): 6.8519 5.5396 6.8520 66.16 47.69 66.16
Last column: nearest neighbours and their distance in Å.
Element x y z (fractional)
Li (0.0000, 0.0000, 0.0000)  6 As 2.77-2.87
Sc (0.2507, 0.2507, 0.2493)  6 As 2.77-2.81
Sc (0.7507, 0.7507, 0.7493)  6 As 2.77-2.81
U (0.5006, 0.5006, 0.4994)  6 As 2.76-2.77
As (0.0006, 0.5002, 0.9994)  2 Li 2.77, 2 U 2.77, 2 Sc 2.81
As (0.2555, 0.7458, 0.2542)  1 U 2.76, 4 Sc 2.77, 1 Li 2.87
As (0.5002, 0.0006, 0.4998)  2 Li 2.77, 2 U 2.77, 2 Sc 2.81
As (0.7458, 0.2555, 0.7445)  1 U 2.76, 4 Sc 2.77, 1 Li 2.87

=====

3.
This record from Alexandria via LeMat-Bulk describes Li2AsSe after structural relaxation. The functional is PBE.

* polymorph energy (0 for the lowest one): 0 meV/atom
* energy relative to the elements, uncorrected: -0.61 eV/atom

Lattice parameters (Å, degrees): 5.7833 5.7833 4.1581 109.90 109.90 34.73
Last column: nearest neighbours and their distance in Å.
Element x y z (fractional)
Li (0.0000, 0.0000, 0.0000)  1 Se 2.67, 4 As 2.71-2.78, 1 Li 2.96
Li (0.7306, 0.7306, 0.9884)  4 Se 2.66-2.75, 1 Li 2.96
As (0.4538, 0.4538, 0.4662)  1 Se 2.41
Se (0.2378, 0.2378, 0.4811)  1 As 2.41, 3 Li 2.66-2.67

=====

4.
This record from Alexandria via LeMat-Bulk describes LiAs2Se after structural relaxation. The functional is PBE.

* energy relative to the elements, uncorrected: 0.06 eV/atom

Lattice parameters (Å, degrees): 4.7379 4.7379 3.3300 90.00 90.00 90.00
Last column: nearest neighbours and their distance in Å.
Element x y z (fractional)
Li (0.0000, 0.0000, 0.0000)  8 As 2.90
As (0.0000, 0.5000, 0.5000)  4 Se 2.90, 4 Li 2.90
As (0.5000, 0.0000, 0.5000)  4 Se 2.90, 4 Li 2.90
Se (0.5000, 0.5000, 0.0000)  8 As 2.90

=====

5.
This record from Alexandria via LeMat-Bulk describes Li2AsSe after structural relaxation. The functional is PBE.

* polymorph energy (0 for the lowest one): 42 meV/atom
* energy relative to the elements, uncorrected: -0.57 eV/atom

Lattice parameters (Å, degrees): 4.9103 4.9103 4.9103 129.72 129.72 73.86
Last column: nearest neighbours and their distance in Å.
Element x y z (fractional)
Li (0.2500, 0.7500, 0.5000)  4 Se 2.86, 4 As 2.86, 4 Li 2.95
Li (0.7500, 0.2500, 0.5000)  4 Se 2.86, 4 As 2.86, 4 Li 2.95
As (0.0000, 0.0000, 0.0000)  8 Li 2.86, 4 Se 2.95
Se (0.5000, 0.5000, 0.0000)  8 Li 2.86, 4 As 2.95

=====

6.
This record from Alexandria via LeMat-Bulk describes Li2AsSe after structural relaxation. The functional is PBE.

* polymorph energy (0 for the lowest one): 530 meV/atom
* energy relative to the elements, uncorrected: -0.08 eV/atom

Lattice parameters (Å, degrees): 10.9726 10.9726 10.9726 15.72 15.72 15.72
Last column: nearest neighbours and their distance in Å.
Element x y z (fractional)
Li (0.0000, 0.0000, 0.0000)  3 Se 2.56
Li (0.2478, 0.2478, 0.2478)  3 As 2.68
As (0.5183, 0.5183, 0.5183)  3 Li 2.68
Se (0.7246, 0.7246, 0.7246)  3 Li 2.56

=====

7.
This record from Alexandria via LeMat-Bulk describes Li2AsSe after structural relaxation. The functional is PBE.

* polymorph energy (0 for the lowest one): 33 meV/atom
* energy relative to the elements, uncorrected: -0.58 eV/atom

Lattice parameters (Å, degrees): 2.9542 2.9542 7.7975 90.00 90.00 90.00
Last column: nearest neighbours and their distance in Å.
Element x y z (fractional)
Li (0.0000, 0.0000, 0.2502)  4 Se 2.86, 4 As 2.86, 4 Li 2.95
Li (0.0000, 0.0000, 0.7498)  4 Se 2.86, 4 As 2.86, 4 Li 2.95
As (0.5000, 0.5000, 0.0000)  8 Li 2.86, 4 As 2.95
Se (0.5000, 0.5000, 0.5000)  8 Li 2.86, 4 Se 2.95

=====

8.
This record from Alexandria via LeMat-Bulk describes Li2AsSe after structural relaxation. The functional is PBE.

* polymorph energy (0 for the lowest one): 15 meV/atom
* energy relative to the elements, uncorrected: -0.60 eV/atom

Lattice parameters (Å, degrees): 3.5360 3.5504 5.4969 90.00 90.31 90.00
Last column: nearest neighbours and their distance in Å.
Element x y z (fractional)
Li (0.0014, 0.0000, 0.2590)  2 Li 2.65-2.85, 4 Se 2.83-2.84, 4 As 2.88
Li (0.9986, 0.0000, 0.7410)  2 Li 2.65-2.85, 4 Se 2.83-2.84, 4 As 2.88
As (0.5000, 0.5000, 0.0000)  2 Se 2.75, 8 Li 2.88
Se (0.5000, 0.5000, 0.5000)  2 As 2.75, 8 Li 2.83-2.84

=====

9.
This record from Alexandria via LeMat-Bulk describes LiAs2Se after structural relaxation. The functional is PBE.

* energy relative to the elements, uncorrected: -0.27 eV/atom

Lattice parameters (Å, degrees): 5.7504 5.6915 3.8956 70.91 69.28 39.81
Last column: nearest neighbours and their distance in Å.
Element x y z (fractional)
Li (0.0000, 0.0000, 0.0000)  4 Se 2.69-2.82, 4 As 2.88
As (0.0000, 0.5000, 0.5000)  4 As 2.69-2.82, 2 Se 2.88, 2 Li 2.88
As (0.5000, 0.0000, 0.0000)  4 As 2.69-2.82, 2 Se 2.88, 2 Li 2.88
Se (0.5000, 0.5000, 0.5000)  4 Li 2.69-2.82, 4 As 2.88

=====

10.
This record from Alexandria via LeMat-Bulk describes LiAsSe2 after structural relaxation. The functional is PBE.

* energy relative to the elements, uncorrected: -0.50 eV/atom

Lattice parameters (Å, degrees): 7.1029 7.1029 7.1029 31.37 31.37 31.37
Last column: nearest neighbours and their distance in Å.
Element x y z (fractional)
Li (0.0000, 0.0000, 0.0000)  6 Se 2.80-2.91
As (0.8298, 0.8298, 0.8298)  6 Se 2.72-2.73
Se (0.2406, 0.2406, 0.2406)  3 As 2.72, 3 Li 2.91
Se (0.4179, 0.4179, 0.4179)  3 As 2.73, 3 Li 2.80

=====

11.
This record from Alexandria via LeMat-Bulk describes Li2AsSe after structural relaxation. The functional is PBE.

* polymorph energy (0 for the lowest one): 120 meV/atom
* energy relative to the elements, uncorrected: -0.49 eV/atom

Lattice parameters (Å, degrees): 8.2746 8.2746 8.2746 21.97 21.97 21.97
Last column: nearest neighbours and their distance in Å.
Element x y z (fractional)
Li (0.2478, 0.2478, 0.2478)  3 Se 2.68, 3 As 2.76
Li (0.7522, 0.7522, 0.7522)  3 Se 2.68, 3 As 2.76
As (0.0000, 0.0000, 0.0000)  6 Li 2.76
Se (0.5000, 0.5000, 0.5000)  6 Li 2.68

=====

12.
This record from Alexandria via LeMat-Bulk describes LiAs2Se after structural relaxation. The functional is PBE.

* energy relative to the elements, uncorrected: -0.33 eV/atom

Lattice parameters (Å, degrees): 6.4259 6.4259 4.0935 107.49 107.49 32.97
Last column: nearest neighbours and their distance in Å.
Element x y z (fractional)
Li (0.0000, 0.0000, 0.0000)  4 Se 2.74
As (0.2731, 0.2731, 0.3281)  2 As 2.48, 1 Se 2.66
As (0.7269, 0.7269, 0.6719)  2 As 2.48, 1 Se 2.66
Se (0.5000, 0.5000, 0.5000)  2 As 2.66, 4 Li 2.74

=====

13.
This record from Alexandria via LeMat-Bulk describes LiAs3Se after structural relaxation. The functional is PBE.

* energy relative to the elements, uncorrected: 0.61 eV/atom

Lattice parameters (Å, degrees): 5.0901 5.0901 5.0901 90.00 90.00 90.00
Last column: nearest neighbours and their distance in Å.
Element x y z (fractional)
Li (0.0000, 0.0000, 0.0000)  12 As 3.60
As (0.0000, 0.5000, 0.5000)  2 Se 2.55
As (0.5000, 0.0000, 0.5000)  2 Se 2.55
As (0.5000, 0.5000, 0.0000)  2 Se 2.55
Se (0.5000, 0.5000, 0.5000)  6 As 2.55

=====

14.
This record from Alexandria via LeMat-Bulk describes LiAs2Se after structural relaxation. The functional is PBE.

* energy relative to the elements, uncorrected: -0.29 eV/atom

Lattice parameters (Å, degrees): 3.8938 3.8938 7.4597 111.88 111.88 54.65
Last column: nearest neighbours and their distance in Å.
Element x y z (fractional)
Li (0.0000, 0.0000, 0.0000)  3 Se 2.49-2.62
As (0.3069, 0.3069, 0.6796)  3 As 2.54-2.64, 2 Li 2.83
As (0.5190, 0.5190, 0.4724)  3 As 2.54-2.64, 2 Se 2.69
Se (0.7862, 0.7862, 0.1977)  3 Li 2.49-2.62, 2 As 2.69

=====

15.
This record from Alexandria via LeMat-Bulk describes LiAsSe2 after structural relaxation. The functional is PBE.

* energy relative to the elements, uncorrected: -0.38 eV/atom

Lattice parameters (Å, degrees): 3.0332 5.2080 5.6096 90.00 105.68 90.00
Last column: nearest neighbours and their distance in Å.
Element x y z (fractional)
Li (0.0000, 0.0000, 0.0000)  7 Se 2.79-3.02, 2 Li 3.03
As (0.2885, 0.5000, 0.5814)  3 Se 2.39-2.63
Se (0.2573, 0.0000, 0.5167)  2 As 2.63, 1 Li 2.79
Se (0.5080, 0.5000, 0.0233)  1 As 2.39